Material: MnMoRu
Method: DFT, meta-GGA SCAN
State: PBEsol geometry

Output
D(E_F) in states/eV/f.u.: 2.9
Excess energy over the best structure of this formula in the dataset in eV/f.u.: 1.14
Calculated formation energy in meV per atom: 588
Magnetization in μB per formula unit: 0.00
VASP energy in eV per atom: -28.734

```
data_MnMoRu
_chemical_formula_sum 'Mn1 Mo1 Ru1'
_symmetry_space_group_name_H-M 'P 1'
_symmetry_Int_Tables_number 1
_symmetry_space_group_name_Hall 'P 1'
_cell_length_a 3.9673
_cell_length_b 3.9673
_cell_length_c 3.9673
_cell_angle_alpha 60.00
_cell_angle_beta 60.00
_cell_angle_gamma 60.00
loop_
_atom_site_label
_atom_site_type_symbol
_atom_site_fract_x
_atom_site_fract_y
_atom_site_fract_z
_atom_site_occupancy
Ru1 Ru 0.5000 0.5000 0.5000 1
Mn1 Mn 0.2500 0.2500 0.2500 1
Mo1 Mo 0.0000 0.0000 0.0000 1
```

***

Material: Mn2SbMo
Method: DFT, meta-GGA SCAN
State: PBEsol geometry

Output
D(E_F) in states/eV/f.u.: 4.0
Raw formation energy in eV/atom: 0.38
Magnetization in μB per formula unit: 1.17
VASP energy in eV per atom: -26.779

```
data_Mn2SbMo
_chemical_formula_sum 'Mn2 Sb1 Mo1'
_symmetry_space_group_name_H-M 'P 1'
_symmetry_Int_Tables_number 1
_symmetry_space_group_name_Hall 'P 1'
_cell_length_a 2.9431
_cell_length_b 2.9431
_cell_length_c 8.3239
_cell_angle_alpha 79.82
_cell_angle_beta 79.82
_cell_angle_gamma 60.00
loop_
_atom_site_label
_atom_site_type_symbol
_atom_site_fract_x
_atom_site_fract_y
_atom_site_fract_z
_atom_site_occupancy
Mn1 Mn 0.0089 0.0089 0.9732 1
Mn2 Mn 0.7462 0.7462 0.7613 1
Sb1 Sb 0.2529 0.2529 0.2412 1
Mo1 Mo 0.4919 0.4919 0.5243 1
```